Compound: LaCuHO2
Source: the Alexandria database
Functional: PBE
Structure: optimized geometry

```
LaCuHO2
1.0
4.185 0.000 0.000
0.000 3.202 0.000
0.000 0.000 4.185
H O Cu La
1 2 1 1
direct
0.000 0.000 0.000
0.000 0.000 0.500
0.500 0.000 0.000
0.000 0.500 0.000
0.500 0.500 0.500
```

**Crystal system**: tetragonal
**Total DFT energy (no corrections)**: -5.51 eV per atom
**Magnetic moment**: 0.0 μB/f.u.
**Space-group type**: P4/mmm (123)
**Theoretical density**: 6.97 Mg/m³


Compound: ScHgMo2
Source: the Alexandria database
Functional: PBE
Structure: optimized geometry

```
ScHgMo2
1.0
-2.228 -1.289 -1.122
2.048 -1.232 -1.473
0.625 -6.743 6.508
Hg Mo Sc
1 2 1
direct
0.500 0.500 0.750
0.000 0.000 0.999
0.000 0.000 0.501
0.500 0.500 0.250
```

**Crystal system**: orthorhombic
**Total DFT energy (no corrections)**: -6.70 eV per atom
**Magnetic moment**: 0.0 μB/f.u.
**Space-group type**: Cmmm (65)
**Theoretical density**: 9.95 Mg/m³


Compound: Zn2CoAs
Source: the Alexandria database
Functional: PBE
Structure: optimized geometry

```
Zn2CoAs
1.0
-0.805 -9.064 -1.260
7.319 -1.397 5.373
1.977 -5.355 3.768
As Co Zn
2 2 4
direct
0.000 0.000 0.000
0.750 0.250 0.500
0.500 0.500 0.000
0.250 0.750 0.500
0.375 0.125 0.250
0.375 0.625 0.250
0.375 0.625 0.750
0.875 0.625 0.750
```

**Crystal system**: tetragonal
**Total DFT energy (no corrections)**: -3.46 eV per atom
**Magnetic moment**: 0.0 μB/f.u.
**Space-group type**: I4_1/amd (141)
**Theoretical density**: 4.86 Mg/m³


Compound: MnBiP2
Source: the Alexandria database
Functional: PBE
Structure: optimized geometry

```
MnBiP2
1.0
0.000 3.242 3.242
3.242 0.000 3.242
3.242 3.242 0.000
P Mn Bi
2 1 1
direct
0.250 0.250 0.250
0.750 0.750 0.750
0.000 0.000 0.000
0.500 0.500 0.500
```

**Crystal system**: cubic
**Total DFT energy (no corrections)**: -5.21 eV per atom
**Magnetic moment**: 0.0 μB/f.u.
**Space-group type**: Fm-3m (225)
**Theoretical density**: 7.94 Mg/m³


Question: Number 2 is which compound?
Answer: ScHgMo2


Question: What is the formula in the first record?
Answer: LaCuHO2


What did the third record say?
Compound: Zn2CoAs
Source: the Alexandria database
Functional: PBE
Structure: optimized geometry

```
Zn2CoAs
1.0
-0.805 -9.064 -1.260
7.319 -1.397 5.373
1.977 -5.355 3.768
As Co Zn
2 2 4
direct
0.000 0.000 0.000
0.750 0.250 0.500
0.500 0.500 0.000
0.250 0.750 0.500
0.375 0.125 0.250
0.375 0.625 0.250
0.375 0.625 0.750
0.875 0.625 0.750
```

**Crystal system**: tetragonal
**Total DFT energy (no corrections)**: -3.46 eV per atom
**Magnetic moment**: 0.0 μB/f.u.
**Space-group type**: I4_1/amd (141)
**Theoretical density**: 4.86 Mg/m³


What did the third record say?
Compound: Zn2CoAs
Source: the Alexandria database
Functional: PBE
Structure: optimized geometry

```
Zn2CoAs
1.0
-0.805 -9.064 -1.260
7.319 -1.397 5.373
1.977 -5.355 3.768
As Co Zn
2 2 4
direct
0.000 0.000 0.000
0.750 0.250 0.500
0.500 0.500 0.000
0.250 0.750 0.500
0.375 0.125 0.250
0.375 0.625 0.250
0.375 0.625 0.750
0.875 0.625 0.750
```

**Crystal system**: tetragonal
**Total DFT energy (no corrections)**: -3.46 eV per atom
**Magnetic moment**: 0.0 μB/f.u.
**Space-group type**: I4_1/amd (141)
**Theoretical density**: 4.86 Mg/m³